1.
The following is a PBE calculation of SmErZnIn after structural relaxation, from Alexandria via LeMat-Bulk.

The value obtained for the total energy is -3.74 eV/atom. The energy relative to the elements comes out at -0.412 eV per atom. For the offset from the most stable computed form, the calculation gives 0 meV per atom.

The structure belongs to space group P4mm (No. 99); the cell edges are 3.658, 3.658 and 7.495 Å and the angles 90.00°, 90.00° and 90.00°. The distinct sites, in fractional coordinates, are Sm at (0.000, 0.000, 0.000), Er at (0.000, 0.000, 0.461), Zn at (0.500, 0.500, 0.247) and In at (0.500, 0.500, 0.720).

2.
The following is a PBE calculation of SmErZnIn after structural relaxation, from Alexandria via LeMat-Bulk.

The value obtained for the total energy is -3.71 eV/atom. The energy relative to the elements comes out at -0.388 eV per atom. For the offset from the most stable computed form, the calculation gives 25 meV per atom.

The structure belongs to space group F-43m (No. 216); the cell edges are 7.402, 7.402 and 7.402 Å and the angles 90.00°, 90.00° and 90.00°. The distinct sites, in fractional coordinates, are Sm at (0.000, 0.000, 0.000), Er at (0.000, 0.000, 0.500), Zn at (0.250, 0.250, 0.750) and In at (0.250, 0.250, 0.250).

3.
The following is a PBE calculation of Sm2ErZn2In2 after structural relaxation, from Alexandria via LeMat-Bulk.

The value obtained for the total energy is -3.43 eV/atom. The energy relative to the elements comes out at -0.282 eV per atom.

The structure belongs to space group R-3m (No. 166, hexagonal axes); the cell edges are 4.7091, 4.7091 and 27.7089 Å and the angles 90.00°, 90.00° and 120.00°. The distinct sites, in fractional coordinates, are Sm at (0.0000, 0.0000, 0.1265), Er at (0.0000, 0.0000, 0.0000), Zn at (0.0000, 0.0000, 0.3918) and In at (0.0000, 0.0000, 0.2666).

4.
The following is a PBE calculation of SmErZrIn after structural relaxation, from Alexandria via LeMat-Bulk.

The value obtained for the total energy is -5.20 eV/atom. The energy relative to the elements comes out at -0.058 eV per atom.

The structure belongs to space group F-43m (No. 216); the cell edges are 7.587, 7.587 and 7.587 Å and the angles 90.00°, 90.00° and 90.00°. The distinct sites, in fractional coordinates, are Sm at (0.000, 0.000, 0.000), Er at (0.000, 0.000, 0.500), Zr at (0.250, 0.250, 0.250) and In at (0.250, 0.250, 0.750).

5.
The following is a PBE calculation of Er6In5Sn after structural relaxation, from Alexandria via LeMat-Bulk.

The value obtained for the total energy is -4.23 eV/atom. The energy relative to the elements comes out at -0.470 eV per atom. For the offset from the most stable computed form, the calculation gives 0 meV per atom.

The structure belongs to space group Immm (No. 71); the cell edges are 4.923, 8.605 and 14.670 Å and the angles 90.00°, 90.00° and 90.00°. The distinct sites, in fractional coordinates, are Er at (0.000, 0.246, 0.000), Er at (0.000, 0.252, 0.334), In at (0.000, 0.000, 0.172), In at (0.000, 0.000, 0.500), In at (0.000, 0.500, 0.166) and Sn at (0.000, 0.500, 0.500).

6.
The following is a PBE calculation of Er4In5Sn2 after structural relaxation, from Alexandria via LeMat-Bulk.

The value obtained for the total energy is -4.05 eV/atom. The energy relative to the elements comes out at -0.414 eV per atom.

The structure belongs to space group P2/m (No. 10); the cell edges are 8.094, 3.352 and 10.457 Å and the angles 90.00°, 94.82° and 90.00°. The distinct sites, in fractional coordinates, are Er at (0.173, 0.000, 0.388), Er at (0.276, 0.000, 0.942), In at (0.191, 0.500, 0.659), In at (0.446, 0.500, 0.202), In at (0.500, 0.500, 0.500) and Sn at (0.067, 0.500, 0.139).

7.
The following is a PBE calculation of Er7In2Sn2 after structural relaxation, from Alexandria via LeMat-Bulk.

The value obtained for the total energy is -4.32 eV/atom. The energy relative to the elements comes out at -0.189 eV per atom.

The structure belongs to space group Cmmm (No. 65); the cell edges are 8.045, 11.009 and 7.608 Å and the angles 90.00°, 90.00° and 90.00°. The distinct sites, in fractional coordinates, are Er at (0.000, 0.000, 0.000), Er at (0.000, 0.500, 0.270), Er at (0.250, 0.250, 0.285), In at (0.177, 0.000, 0.500) and Sn at (0.000, 0.293, 0.000).

8.
The following is a PBE calculation of Er3InSn3 after structural relaxation, from Alexandria via LeMat-Bulk.

The value obtained for the total energy is -4.46 eV/atom. The energy relative to the elements comes out at -0.394 eV per atom.

The structure belongs to space group P6_3/m (No. 176); the cell edges are 8.7216, 8.7216 and 5.6268 Å and the angles 90.00°, 90.00° and 120.00°. The distinct sites, in fractional coordinates, are Er at (0.0916, 0.6445, 0.2500), In at (0.3333, 0.6667, 0.7500) and Sn at (0.0530, 0.7987, 0.7500).